Ba3Fe3Se7: optimized geometry, PBE.

Properties
* space-group type: No. 186

Unit cell a=10.986 b=10.988 c=7.326 alpha=90.00 beta=90.00 gamma=119.99
Atoms (fractional coordinates):
Ba1 0.186 0.372 0.004
Ba2 0.186 0.814 0.004
Ba3 0.628 0.814 0.004
Ba4 0.814 0.628 0.504
Ba5 0.372 0.186 0.504
Ba6 0.814 0.186 0.504
Fe1 0.255 0.509 0.488
Fe2 0.254 0.746 0.488
Fe3 0.491 0.746 0.488
Fe4 0.745 0.491 0.988
Fe5 0.509 0.254 0.988
Fe6 0.746 0.254 0.988
Se1 0.864 0.727 0.076
Se2 0.273 0.136 0.076
Se3 0.864 0.136 0.076
Se4 0.667 0.333 0.248
Se5 0.089 0.544 0.315
Se6 0.456 0.544 0.315
Se7 0.456 0.911 0.315
Se8 0.136 0.273 0.576
Se9 0.136 0.864 0.576
Se10 0.727 0.864 0.576
Se11 0.333 0.667 0.748
Se12 0.544 0.456 0.815
Se13 0.911 0.456 0.815
Se14 0.544 0.089 0.815

LuRePO: optimized geometry, PBE.

Properties
* polymorph energy (0 for the lowest one): 0.6547 eV/atom
* space-group type: No. 26

Unit cell a=4.033 b=5.899 c=5.423 alpha=90.00 beta=90.00 gamma=90.00
Atoms (fractional coordinates):
Lu1 0.000 0.172 0.358
Lu2 0.000 0.828 0.858
O1 0.500 0.234 0.416
O2 0.500 0.766 0.916
P1 0.000 0.684 0.370
P2 0.000 0.316 0.870
Re1 0.500 0.459 0.110
Re2 0.500 0.541 0.610

| no. | DFT total energy (eV per atom) | size of the total moment (μB per cell) |
| --- | --- | --- |
| 1 | -5.3055 | 20.01 |
| 2 | -7.9527 | 0.02 |